# 1
Below is crystalline KLa2ZnCo at its relaxed geometry, with properties calculated at the PBE-GGA level.

Results
SG = P4/mmm

Unit cell a=5.371 b=5.371 c=5.082 alpha=90.00 beta=90.00 gamma=90.00
Atoms (fractional coordinates):
Zn (0.000, 0.000, 0.500)
Co (0.000, 0.000, 0.000)
K (0.500, 0.500, 0.500)
La (0.000, 0.500, 0.000)
La (0.500, 0.000, 0.000)

***

# 2
Below is crystalline KLi4Co at its relaxed geometry, with properties calculated at the PBE-GGA level.

Results
SG = F-43m

Unit cell a=5.721 b=5.721 c=5.721 alpha=60.00 beta=60.00 gamma=60.00
Atoms (fractional coordinates):
K (0.000, 0.000, 0.000)
Li (0.866, 0.378, 0.378)
Li (0.378, 0.378, 0.866)
Li (0.378, 0.866, 0.378)
Li (0.378, 0.378, 0.378)
Co (0.750, 0.750, 0.750)

***

# 3
Below is crystalline K3LiCo at its relaxed geometry, with properties calculated at the PBE-GGA level.

Results
SG = Pm-3m
Energy relative to the lowest polymorph listed for this composition = 0.000 eV per atom

Unit cell a=6.417 b=6.417 c=6.417 alpha=90.00 beta=90.00 gamma=90.00
Atoms (fractional coordinates):
K (0.000, 0.500, 0.000)
K (0.000, 0.000, 0.500)
K (0.500, 0.000, 0.000)
Co (0.000, 0.000, 0.000)
Li (0.500, 0.500, 0.500)

***

# 4
Below is crystalline KLiCo3 at its relaxed geometry, with properties calculated at the PBE-GGA level.

Results
SG = Pm-3m

Unit cell a=4.660 b=4.660 c=4.660 alpha=90.00 beta=90.00 gamma=90.00
Atoms (fractional coordinates):
K (0.000, 0.000, 0.000)
Co (0.000, 0.500, 0.000)
Co (0.000, 0.000, 0.500)
Co (0.500, 0.000, 0.000)
Li (0.500, 0.500, 0.500)

***

no.,raw total energy (eV/atom)
1,-3.790
2,-2.133
3,-1.747
4,-2.567